Compound: NaSrCo2As
Source: Alexandria
Functional: PBE-GGA
Structure: relaxed

Output
Volume, A^3/atom: 23.69
Formation energy, meV/atom: 951
Calculated total energy, eV/atom: -3.421
Magnetic moment, μB per formula unit: 4.0

Unit cell a=4.7952 b=4.7952 c=5.1512 alpha=90.00 beta=90.00 gamma=90.00
Closest atoms and distances in Å follow each position.
Fractional positions:
Na 0.0000 0.0000 0.0000  4 Co 2.40, 2 As 2.58
Sr 0.5000 0.5000 0.5000  4 As 3.39, 8 Co 3.52
Co 0.0000 0.5000 0.0000  2 Na 2.40
Co 0.5000 0.0000 0.0000  2 Na 2.40
As 0.0000 0.0000 0.5000  2 Na 2.58

---

Compound: AcGaRu
Source: Alexandria
Functional: PBE-GGA
Structure: relaxed

Output
Volume, A^3/atom: 24.31
Formation energy, meV/atom: -373
Calculated total energy, eV/atom: -5.843
Relative energy among the computed polymorphs, eV/atom: 0.104
Magnetic moment, μB per formula unit: 0.0

Unit cell a=4.3397 b=4.3397 c=4.4724 alpha=90.00 beta=90.00 gamma=120.00
Closest atoms and distances in Å follow each position.
Fractional positions:
Ac 0.0000 0.0000 0.0000  6 Ru 3.36, 6 Ga 3.36
Ga 0.6667 0.3333 0.5000  3 Ru 2.51
Ru 0.3333 0.6667 0.5000  3 Ga 2.51